The following is a DFT calculation (PBE) of crystalline LiMg2V at its relaxed geometry.

Structure (POSCAR):
```
LiMg2V
1.0
1.433 0.827 10.548
-1.433 0.827 10.548
0.000 -1.655 10.548
Li Mg V
1 2 1
Cartesian
0.000 0.000 0.000
0.000 0.000 13.069
0.000 0.000 18.576
0.000 0.000 15.823
```

- energy (eV per cell) = -12.5
- total moment (μB/cell) = 1.23
- DFT formation energy (eV/f.u.) = 1.752
- space group = R-3m
- polymorph energy (0 for the lowest one) (meV per atom) = 94